# 1
# PAuSe2

A PBEsol-optimized structure of PAuSe2 (SCAN, Alexandria via LeMat-Bulk).

Output
raw formation energy: 474 meV per atom

CIF file:
```
data_PAuSe2
_chemical_formula_sum 'P2 Au2 Se4'
_cell_length_a 5.012
_cell_length_b 14.033
_cell_length_c 2.561
_cell_angle_alpha 90.00
_cell_angle_beta 90.00
_cell_angle_gamma 90.00
_space_group_name_H-M_alt 'C m m m'
_space_group_IT_number 65
_space_group_name_Hall '-C 2 2'
loop_
_atom_site_label
_atom_site_type_symbol
_atom_site_fract_x
_atom_site_fract_y
_atom_site_fract_z
P1 P 0.000 0.000 0.000
Au1 Au 0.000 0.500 0.000
Se1 Se 0.250 0.250 0.500
```

---

# 2
# PAuSe2

A PBEsol-optimized structure of PAuSe2 (SCAN, Alexandria via LeMat-Bulk).

Output
raw formation energy: 669 meV per atom

CIF file:
```
data_PAuSe2
_chemical_formula_sum 'P2 Au2 Se4'
_cell_length_a 3.148
_cell_length_b 4.750
_cell_length_c 9.560
_cell_angle_alpha 90.00
_cell_angle_beta 90.00
_cell_angle_gamma 90.00
_space_group_name_H-M_alt 'C m m m'
_space_group_IT_number 65
_space_group_name_Hall '-C 2 2'
loop_
_atom_site_label
_atom_site_type_symbol
_atom_site_fract_x
_atom_site_fract_y
_atom_site_fract_z
P1 P 0.000 0.000 0.000
Au1 Au 0.000 0.000 0.500
Se1 Se 0.000 0.500 0.219
```

---

# 3
# PAu2Se

A PBEsol-optimized structure of PAu2Se (SCAN, Alexandria via LeMat-Bulk).

Output
excess energy over the best structure of this formula in the dataset: 0.0 meV/atom
raw formation energy: 94 meV per atom

CIF file:
```
data_PAu2Se
_chemical_formula_sum 'P4 Au8 Se4'
_cell_length_a 6.009
_cell_length_b 6.009
_cell_length_c 9.807
_cell_angle_alpha 90.00
_cell_angle_beta 90.00
_cell_angle_gamma 90.00
_space_group_name_H-M_alt 'I -4 2 d'
_space_group_IT_number 122
_space_group_name_Hall 'I -4 2bw'
loop_
_atom_site_label
_atom_site_type_symbol
_atom_site_fract_x
_atom_site_fract_y
_atom_site_fract_z
P1 P 0.000 0.000 0.000
Au1 Au 0.216 0.750 0.125
Se1 Se 0.000 0.000 0.500
```

---

# 4
# P2AuSe

A PBEsol-optimized structure of P2AuSe (SCAN, Alexandria via LeMat-Bulk).

Output
raw formation energy: 145 meV per atom

CIF file:
```
data_P2AuSe
_chemical_formula_sum 'P6 Au3 Se3'
_cell_length_a 3.5722
_cell_length_b 3.5722
_cell_length_c 18.3753
_cell_angle_alpha 90.00
_cell_angle_beta 90.00
_cell_angle_gamma 120.00
_space_group_name_H-M_alt 'R 3 m'
_space_group_IT_number 160
_space_group_name_Hall 'R 3 -2"'
loop_
_atom_site_label
_atom_site_type_symbol
_atom_site_fract_x
_atom_site_fract_y
_atom_site_fract_z
P1 P 0.0000 0.0000 0.0000
P2 P 0.0000 0.0000 0.2655
Au1 Au 0.0000 0.0000 0.5161
Se1 Se 0.0000 0.0000 0.7528
```

---

# 5
# PAuSe2

A PBEsol-optimized structure of PAuSe2 (SCAN, Alexandria via LeMat-Bulk).

Output
raw formation energy: 238 meV per atom

CIF file:
```
data_PAuSe2
_chemical_formula_sum 'P1 Au1 Se2'
_cell_length_a 2.720
_cell_length_b 3.742
_cell_length_c 7.447
_cell_angle_alpha 90.00
_cell_angle_beta 90.00
_cell_angle_gamma 90.00
_space_group_name_H-M_alt 'P m m m'
_space_group_IT_number 47
_space_group_name_Hall '-P 2 2'
loop_
_atom_site_label
_atom_site_type_symbol
_atom_site_fract_x
_atom_site_fract_y
_atom_site_fract_z
P1 P 0.000 0.000 0.000
Au1 Au 0.000 0.000 0.500
Se1 Se 0.000 0.500 0.242
```

---

# 6
# PAuSe

A PBEsol-optimized structure of PAuSe (SCAN, Alexandria via LeMat-Bulk).

Output
raw formation energy: 661 meV per atom

CIF file:
```
data_PAuSe
_chemical_formula_sum 'P2 Au2 Se2'
_cell_length_a 3.174
_cell_length_b 3.174
_cell_length_c 10.335
_cell_angle_alpha 90.00
_cell_angle_beta 90.00
_cell_angle_gamma 90.00
_space_group_name_H-M_alt 'I 4 m m'
_space_group_IT_number 107
_space_group_name_Hall 'I 4 -2'
loop_
_atom_site_label
_atom_site_type_symbol
_atom_site_fract_x
_atom_site_fract_y
_atom_site_fract_z
P1 P 0.000 0.000 0.000
Au1 Au 0.000 0.000 0.347
Se1 Se 0.000 0.000 0.642
```

---

no.,volume (Å³ per atom),total DFT energy (no corrections) (eV per atom)
1,22.5,-29.454
2,17.9,-29.259
3,22.1,-42.104
4,16.9,-27.363
5,18.9,-29.690
6,17.3,-32.551